Entry from Alexandria: an optimized crystal structure of PmNp6S12 (PBE).

Computed properties:
- Energy relative to the elements, uncorrected: -130.07 kJ per mole of atoms
- Energy: -8.29 eV/atom
- Magnetization: 63.0 μB/cell
- Crystal system: trigonal

Unit cell a=11.4421 b=11.4421 c=13.2310 alpha=90.00 beta=90.00 gamma=120.00
With the nearest neighbours (Å) after each atom.
Space group R-3 (No. 148, hexagonal axes)
Symmetry-distinct sites (fractional):
1 Pm 0.0000 0.0000 0.0000 [3 per cell]  6 S 2.76
2 Np 0.0418 0.7796 0.6925 [18 per cell]  6 S 2.68-2.86
3 S 0.0290 0.8074 0.8959 [18 per cell]  3 Np 2.72-2.86, 1 Pm 2.76
4 S 0.0303 0.8362 0.3802 [18 per cell]  3 Np 2.68-2.70